(1)
NbCoSbTe2: optimized geometry, GGA-PBE.

- N(E_F): 6.5 states/eV per cell
- Formation energy from raw total energies: 0.73 eV/atom
- SG: P4/mmm (123)
- Total magnetization: 0.00 μB per formula unit

Cell lengths 4.9709, 4.9709, 4.7917 Å; angles 90.00, 90.00, 90.00 degrees
Closest atoms and distances in Å follow each position.
Fractional positions:
Sb1 0.0000 0.0000 0.5000  2 Co 2.40
Nb1 0.5000 0.5000 0.5000  8 Te 3.45, 4 Sb 3.51
Te1 0.0000 0.5000 0.0000  2 Co 2.49
Te2 0.5000 0.0000 0.0000  2 Co 2.49
Co1 0.0000 0.0000 0.0000  2 Sb 2.40, 4 Te 2.49



(2)
Nb2ZnCoSb: optimized geometry, GGA-PBE.

- N(E_F): 6.7 states/eV per cell
- Formation energy from raw total energies: 1.57 eV/atom
- SG: P4/mmm (123)
- Total magnetization: 0.01 μB per formula unit

Cell lengths 4.7293, 4.7652, 4.7293 Å; angles 90.00, 90.00, 90.00 degrees
Closest atoms and distances in Å follow each position.
Fractional positions:
Sb1 0.0000 0.5000 0.0000  2 Zn 2.38
Nb1 0.0000 0.0000 0.5000  2 Zn 2.36
Nb2 0.5000 0.0000 0.0000  2 Zn 2.36
Co1 0.5000 0.5000 0.5000  4 Sb 3.34, 8 Nb 3.36
Zn1 0.0000 0.0000 0.0000  4 Nb 2.36, 2 Sb 2.38



(3)
Sc2NbCo2: optimized geometry, GGA-PBE.

- N(E_F): 18.0 states/eV per cell
- Energy of formation from the pure elements: -199 meV per atom
- SG: P4/mbm (127)
- Total magnetization: 0.00 μB per formula unit

Cell lengths 6.3057, 6.3057, 4.2581 Å; angles 90.00, 90.00, 90.00 degrees
Closest atoms and distances in Å follow each position.
Fractional positions:
Sc1 0.1770 0.6770 0.5000  6 Co 2.75-2.89
Sc2 0.6770 0.8230 0.5000  6 Co 2.75-2.89
Sc3 0.8230 0.3230 0.5000  6 Co 2.75-2.89
Sc4 0.3230 0.1770 0.5000  6 Co 2.75-2.89
Nb1 0.0000 0.0000 0.0000  4 Co 2.48
Nb2 0.5000 0.5000 0.0000  4 Co 2.48
Co1 0.3717 0.8717 0.0000  1 Co 2.29, 2 Nb 2.48
Co2 0.8717 0.6283 0.0000  1 Co 2.29, 2 Nb 2.48
Co3 0.6283 0.1283 0.0000  1 Co 2.29, 2 Nb 2.48
Co4 0.1283 0.3717 0.0000  1 Co 2.29, 2 Nb 2.48



(4)
Sc2NbCo2: optimized geometry, GGA-PBE.

- N(E_F): 3.6 states/eV per cell
- Energy of formation from the pure elements: -243 meV per atom
- SG: Immm (71)
- Total magnetization: 0.00 μB per formula unit

Cell lengths 3.8723, 5.3018, 5.3018 Å; angles 59.60, 68.51, 68.51 degrees
Closest atoms and distances in Å follow each position.
Fractional positions:
Sc1 0.2941 0.2057 0.7057  6 Co 2.83-2.87, 4 Nb 3.12-3.14
Sc2 0.7059 0.7943 0.2943  6 Co 2.83-2.87, 4 Nb 3.12-3.14
Nb1 0.5000 0.5000 0.0000  4 Co 2.44
Co1 0.0000 0.2168 0.2832  1 Co 2.28, 2 Nb 2.44
Co2 0.0000 0.7832 0.7168  1 Co 2.28, 2 Nb 2.44



(5)
ScNb2Co9: optimized geometry, GGA-PBE.

- N(E_F): 18.7 states/eV per cell
- Energy of formation from the pure elements: -152 meV per atom
- SG: R-3m (166)
- Total magnetization: 8.07 μB per formula unit

Cell lengths 4.7591, 4.7591, 8.2704 Å; angles 73.28, 73.28, 60.00 degrees
Closest atoms and distances in Å follow each position.
Fractional positions:
Sc1 0.0000 0.0000 0.0000  6 Co 2.75
Nb1 0.8610 0.8610 0.4171  12 Co 2.70-2.89
Nb2 0.1390 0.1390 0.5829  12 Co 2.70-2.89
Co1 0.6649 0.6649 0.0054  6 Co 2.40-2.44
Co2 0.3351 0.3351 0.9946  6 Co 2.40-2.44
Co3 0.5000 0.5000 0.5000  6 Co 2.37
Co4 0.4123 0.4123 0.2549  7 Co 2.34-2.44
Co5 0.9205 0.4123 0.2549  7 Co 2.34-2.44
Co6 0.4123 0.9205 0.2549  7 Co 2.34-2.44
Co7 0.5877 0.5877 0.7451  7 Co 2.34-2.44
Co8 0.5877 0.0795 0.7451  7 Co 2.34-2.44
Co9 0.0795 0.5877 0.7451  7 Co 2.34-2.44



(6)
ScNbCo2: optimized geometry, GGA-PBE.

- N(E_F): 6.1 states/eV per cell
- Energy of formation from the pure elements: 231 meV per atom
- SG: I-42d (122)
- Total magnetization: 0.00 μB per formula unit

Cell lengths 6.7330, 6.7330, 5.5170 Å; angles 52.40, 52.40, 90.00 degrees
Closest atoms and distances in Å follow each position.
Fractional positions:
Sc1 0.5000 0.5000 0.0000  4 Co 2.57, 2 Nb 2.79
Sc2 0.2500 0.7500 0.5000  4 Co 2.57, 2 Nb 2.79
Nb1 0.0000 0.0000 0.0000  4 Co 2.39
Nb2 0.7500 0.2500 0.5000  4 Co 2.39
Co1 0.6441 0.1250 0.2500  2 Nb 2.39, 2 Sc 2.57
Co2 0.1059 0.6250 0.2500  2 Nb 2.39, 2 Sc 2.57
Co3 0.3750 0.3559 0.7500  2 Nb 2.39, 2 Sc 2.57
Co4 0.8750 0.8941 0.7500  2 Nb 2.39, 2 Sc 2.57



(7)
ScNbCo: optimized geometry, GGA-PBE.

- N(E_F): 3.3 states/eV per cell
- Energy of formation from the pure elements: -85 meV per atom
- SG: I4mm (107)
- Total magnetization: 0.60 μB per formula unit

Cell lengths 3.1100, 3.1100, 5.6237 Å; angles 106.05, 106.05, 90.00 degrees
Closest atoms and distances in Å follow each position.
Fractional positions:
Sc1 0.3226 0.3226 0.6452  4 Co 2.79, 4 Nb 3.00, 4 Sc 3.11
Nb1 0.0200 0.0200 0.0401  4 Co 2.62
Co1 0.6574 0.6574 0.3147  4 Nb 2.62, 4 Sc 2.79



(8)
Sc2Nb2Co: optimized geometry, GGA-PBE.

- N(E_F): 11.8 states/eV per cell
- Energy of formation from the pure elements: 136 meV per atom
- SG: P4/mbm (127)
- Total magnetization: 0.00 μB per formula unit

Cell lengths 6.3514, 6.3514, 4.8138 Å; angles 90.00, 90.00, 90.00 degrees
Closest atoms and distances in Å follow each position.
Fractional positions:
Sc1 0.1657 0.6657 0.5000  6 Nb 2.93-3.13, 1 Sc 2.98
Sc2 0.6657 0.8343 0.5000  6 Nb 2.93-3.13, 1 Sc 2.98
Sc3 0.8343 0.3343 0.5000  6 Nb 2.93-3.13, 1 Sc 2.98
Sc4 0.3343 0.1657 0.5000  6 Nb 2.93-3.13, 1 Sc 2.98
Nb1 0.3516 0.8516 0.0000  2 Co 2.42, 1 Nb 2.67
Nb2 0.8516 0.6484 0.0000  2 Co 2.42, 1 Nb 2.67
Nb3 0.6484 0.1484 0.0000  2 Co 2.42, 1 Nb 2.67
Nb4 0.1484 0.3516 0.0000  2 Co 2.42, 1 Nb 2.67
Co1 0.0000 0.0000 0.0000  4 Nb 2.42
Co2 0.5000 0.5000 0.0000  4 Nb 2.42



(9)
ScNb2Co2: optimized geometry, GGA-PBE.

- N(E_F): 12.3 states/eV per cell
- Energy of formation from the pure elements: -107 meV per atom
- SG: P4/mbm (127)
- Total magnetization: 0.00 μB per formula unit

Cell lengths 7.1246, 7.1246, 3.1104 Å; angles 90.00, 90.00, 90.00 degrees
Closest atoms and distances in Å follow each position.
Fractional positions:
Sc1 0.0000 0.0000 0.0000  4 Co 2.81, 8 Nb 3.07, 2 Sc 3.11
Sc2 0.5000 0.5000 0.0000  4 Co 2.81, 8 Nb 3.07, 2 Sc 3.11
Nb1 0.1690 0.6690 0.5000  6 Co 2.59-2.63
Nb2 0.6690 0.8310 0.5000  6 Co 2.59-2.63
Nb3 0.8310 0.3310 0.5000  6 Co 2.59-2.63
Nb4 0.3310 0.1690 0.5000  6 Co 2.59-2.63
Co1 0.3740 0.8740 0.0000  1 Co 2.54, 6 Nb 2.59-2.63, 2 Sc 2.81
Co2 0.8740 0.6260 0.0000  1 Co 2.54, 6 Nb 2.59-2.63, 2 Sc 2.81
Co3 0.6260 0.1260 0.0000  1 Co 2.54, 6 Nb 2.59-2.63, 2 Sc 2.81
Co4 0.1260 0.3740 0.0000  1 Co 2.54, 6 Nb 2.59-2.63, 2 Sc 2.81



(10)
ScNb2Co: optimized geometry, GGA-PBE.

- N(E_F): 5.2 states/eV per cell
- Energy of formation from the pure elements: 419 meV per atom
- SG: R-3m (166)
- Total magnetization: 0.75 μB per formula unit

Cell lengths 2.8756, 2.8756, 10.0973 Å; angles 81.81, 81.81, 60.00 degrees
Closest atoms and distances in Å follow each position.
Fractional positions:
Sc1 0.0000 0.0000 0.0000  6 Sc 2.88, 2 Nb 2.89
Nb1 0.0969 0.0969 0.7094  3 Co 2.67, 6 Nb 2.88, 1 Sc 2.89
Nb2 0.9031 0.9031 0.2906  3 Co 2.67, 6 Nb 2.88, 1 Sc 2.89
Co1 0.5000 0.5000 0.5000  6 Nb 2.67, 6 Co 2.88



(11)
ScNbCo: optimized geometry, GGA-PBE.

- N(E_F): 10.2 states/eV per cell
- Energy of formation from the pure elements: -184 meV per atom
- SG: C2/m (12)
- Total magnetization: 0.00 μB per formula unit

Cell lengths 4.1433, 9.9261, 5.5198 Å; angles 83.22, 112.04, 90.00 degrees
Closest atoms and distances in Å follow each position.
Fractional positions:
Sc1 0.0838 0.3494 0.1676  6 Co 2.88-2.95, 5 Nb 2.97-3.14
Sc2 0.4148 0.1644 0.8296  4 Co 2.76-3.07, 2 Nb 3.01
Sc3 0.5852 0.8356 0.1704  4 Co 2.76-3.07, 2 Nb 3.01
Sc4 0.9162 0.6506 0.8324  6 Co 2.88-2.95, 5 Nb 2.97-3.14
Nb1 0.2148 0.6185 0.4296  4 Co 2.40-2.53
Nb2 0.8611 0.9584 0.7222  3 Co 2.43-2.46
Nb3 0.7852 0.3815 0.5704  4 Co 2.40-2.53
Nb4 0.1389 0.0416 0.2778  3 Co 2.43-2.46
Co1 0.3999 0.4442 0.7998  3 Nb 2.40-2.50, 1 Co 2.45
Co2 0.6944 0.1561 0.3888  4 Nb 2.43-2.53
Co3 0.6001 0.5558 0.2002  3 Nb 2.40-2.50, 1 Co 2.45
Co4 0.3056 0.8439 0.6112  4 Nb 2.43-2.53



(12)
ScNb2Co: optimized geometry, GGA-PBE.

- N(E_F): 7.1 states/eV per cell
- Energy of formation from the pure elements: 263 meV per atom
- SG: I-42d (122)
- Total magnetization: 0.00 μB per formula unit

Cell lengths 7.4143, 7.4143, 5.8789 Å; angles 50.91, 50.91, 90.00 degrees
Closest atoms and distances in Å follow each position.
Fractional positions:
Sc1 0.5000 0.5000 0.0000  2 Co 2.66
Sc2 0.2500 0.7500 0.5000  2 Co 2.66
Nb1 0.6803 0.1250 0.2500  2 Co 2.44
Nb2 0.0697 0.6250 0.2500  2 Co 2.44
Nb3 0.3750 0.3197 0.7500  2 Co 2.44
Nb4 0.8750 0.9303 0.7500  2 Co 2.44
Co1 0.0000 0.0000 0.0000  4 Nb 2.44, 2 Sc 2.66
Co2 0.7500 0.2500 0.5000  4 Nb 2.44, 2 Sc 2.66